Entry 1:
ZnOs2W | PBE | optimized geometry

## Properties
Crystal system: monoclinic
DOS at the Fermi energy (states/eV/f.u.): 3.3
Raw total energy (eV/atom): -8.97

Cell: 4.0204 2.7613 5.9579 Å, 62.56 90.00 90.00°
Element x y z (fractional)
Zn 0.5000 0.7405 0.7594
W 0.0000 0.5049 0.5003
Os 0.0000 0.0122 0.9847
Os 0.5000 0.2424 0.2556

---

Entry 2:
GaC | PBE | optimized geometry

## Properties
Crystal system: orthorhombic
DOS at the Fermi energy (states/eV/f.u.): 0.6
Raw total energy (eV/atom): -5.01
Energy above the most stable polymorph in this dataset (meV per atom): 879

Cell: 9.5870 3.3824 4.6749 Å, 90.00 90.00 90.00°
Element x y z (fractional)
C 0.0000 0.0040 0.3757
C 0.1934 0.3747 0.7859
C 0.3066 0.6253 0.2859
C 0.8066 0.3747 0.7859
C 0.6934 0.6253 0.2859
C 0.5000 0.9960 0.8757
Ga 0.5000 0.4810 0.1315
Ga 0.1847 0.1345 0.2115
Ga 0.0000 0.5190 0.6315
Ga 0.3153 0.8655 0.7115
Ga 0.6847 0.8655 0.7115
Ga 0.8153 0.1345 0.2115

---

Entry 3:
RbOsN2 | PBE | optimized geometry

## Properties
Crystal system: trigonal
Formation energy without anion corrections (eV per atom): 1.21
DOS at the Fermi energy (states/eV/f.u.): 1.9
Raw total energy (eV/atom): -6.01
Energy above the most stable polymorph in this dataset (meV per atom): 1081

Cell: 8.1935 8.1935 8.1935 Å, 22.30 22.30 22.30°
Element x y z (fractional)
N 0.0756 0.0756 0.0756
N 0.9244 0.9244 0.9244
Rb 0.5000 0.5000 0.5000
Os 0.0000 0.0000 0.0000

---

Entry 4:
Tb3Pm8Tm2 | PBE | optimized geometry

## Properties
Crystal system: triclinic
DOS at the Fermi energy (states/eV/f.u.): 17.6
Raw total energy (eV/atom): -4.66
Energy above the most stable polymorph in this dataset (meV per atom): 0

Cell: 11.9544 6.2482 9.5379 Å, 139.83 106.51 69.62°
Element x y z (fractional)
Tb 0.9614 0.9222 0.7690
Tb 0.0386 0.0778 0.2310
Tb 0.5000 0.0000 0.0000
Tm 0.5755 0.1545 0.4607
Tm 0.4245 0.8455 0.5393
Pm 0.6523 0.3081 0.9211
Pm 0.8836 0.7705 0.3081
Pm 0.3477 0.6919 0.0789
Pm 0.1936 0.3826 0.1541
Pm 0.8064 0.6174 0.8459
Pm 0.2715 0.5371 0.6157
Pm 0.7285 0.4629 0.3843
Pm 0.1164 0.2295 0.6919

---

Entry 5:
La2Pr6Ho3 | PBE | optimized geometry

## Properties
Crystal system: tetragonal
DOS at the Fermi energy (states/eV/f.u.): 15.4
Raw total energy (eV/atom): -4.31
Energy above the most stable polymorph in this dataset (meV per atom): 279

Cell: 5.7929 5.7929 12.9660 Å, 102.91 102.91 90.00°
Element x y z (fractional)
Pr 0.7037 0.7037 0.4074
Pr 0.5966 0.0966 0.1932
Pr 0.4034 0.9034 0.8068
Pr 0.0966 0.5966 0.1932
Pr 0.2963 0.2963 0.5926
Pr 0.9034 0.4034 0.8068
La 0.4407 0.4407 0.8815
La 0.5593 0.5593 0.1185
Ho 0.8414 0.8414 0.6828
Ho 0.1586 0.1586 0.3172
Ho 0.0000 0.0000 0.0000

---

Entry 6:
Tl2In3 | PBE | optimized geometry

## Properties
Crystal system: trigonal
DOS at the Fermi energy (states/eV/f.u.): 2.1
Raw total energy (eV/atom): -2.46
Energy above the most stable polymorph in this dataset (meV per atom): 116

Cell: 5.2106 5.2106 6.7637 Å, 90.00 90.00 120.00°
Element x y z (fractional)
Tl 0.3333 0.6667 0.8348
Tl 0.6667 0.3333 0.1652
In 0.0000 0.0000 0.0000
In 0.3333 0.6667 0.3623
In 0.6667 0.3333 0.6377

---

Entry 7:
TaTiTcSe2 | PBE | optimized geometry

## Properties
Crystal system: tetragonal
Formation energy without anion corrections (eV per atom): 0.91
DOS at the Fermi energy (states/eV/f.u.): 5.6
Raw total energy (eV/atom): -6.51

Cell: 4.8142 4.8142 4.5376 Å, 90.00 90.00 90.00°
Element x y z (fractional)
Se 0.5000 0.0000 0.0000
Se 0.0000 0.5000 0.0000
Ti 0.0000 0.0000 0.5000
Ta 0.5000 0.5000 0.5000
Tc 0.0000 0.0000 0.0000

---

Entry 8:
Tb4ZnGaCu2 | PBE | optimized geometry

## Properties
Crystal system: trigonal
DOS at the Fermi energy (states/eV/f.u.): 6.7
Raw total energy (eV/atom): -4.21

Cell: 5.0075 5.0075 8.7003 Å, 73.28 73.28 60.00°
Element x y z (fractional)
Cu 0.2483 0.2483 0.2551
Cu 0.7517 0.7517 0.7449
Tb 0.6246 0.6246 0.1263
Tb 0.1254 0.1254 0.6238
Tb 0.8746 0.8746 0.3762
Tb 0.3754 0.3754 0.8737
Zn 0.5000 0.5000 0.5000
Ga 0.0000 0.0000 0.0000

---

Entry 9:
NbZn2In2 | PBE | optimized geometry

## Properties
Crystal system: tetragonal
DOS at the Fermi energy (states/eV/f.u.): 2.5
Raw total energy (eV/atom): -3.41

Cell: 7.5677 7.5677 3.2988 Å, 90.00 90.00 90.00°
Element x y z (fractional)
In 0.3207 0.1793 0.5000
In 0.6793 0.8207 0.5000
In 0.8207 0.3207 0.5000
In 0.1793 0.6793 0.5000
Nb 0.5000 0.5000 0.0000
Nb 0.0000 0.0000 0.0000
Zn 0.3787 0.8787 0.0000
Zn 0.8787 0.6213 0.0000
Zn 0.1213 0.3787 0.0000
Zn 0.6213 0.1213 0.0000

---

Entry 10:
MgCd2Ni | PBE | optimized geometry

## Properties
Crystal system: tetragonal
DOS at the Fermi energy (states/eV/f.u.): 0.9
Raw total energy (eV/atom): -2.34

Cell: 5.1223 5.1223 5.1223 Å, 132.88 132.88 68.84°
Element x y z (fractional)
Cd 0.0000 0.0000 0.0000
Cd 0.5000 0.5000 0.0000
Ni 0.7500 0.2500 0.5000
Mg 0.2500 0.7500 0.5000

---

Entry 11:
IrRuW | PBE | optimized geometry

## Properties
Crystal system: orthorhombic
DOS at the Fermi energy (states/eV/f.u.): 2.8
Raw total energy (eV/atom): -10.53
Energy above the most stable polymorph in this dataset (meV per atom): 0

Cell: 4.3851 4.8315 4.8315 Å, 119.94 90.00 90.00°
Element x y z (fractional)
Ru 0.2500 0.5717 0.7591
Ru 0.7500 0.2409 0.4283
Ir 0.2500 0.2364 0.0965
Ir 0.7500 0.9035 0.7636
W 0.2500 0.9166 0.4358
W 0.7500 0.5642 0.0834

---

Entry 12:
Rb2Tb2SnSe6 | PBE | optimized geometry

## Properties
Crystal system: monoclinic
Formation energy without anion corrections (eV per atom): -1.34
Raw total energy (eV/atom): -4.62

Cell: 7.1562 7.1562 8.6136 Å, 98.18 98.18 119.84°
Element x y z (fractional)
Se 0.0675 0.3871 0.6918
Se 0.2514 0.2514 0.3119
Se 0.9325 0.6129 0.3082
Se 0.3871 0.0675 0.6918
Se 0.6129 0.9325 0.3082
Se 0.7486 0.7486 0.6881
Tb 0.3316 0.6684 0.5000
Tb 0.6684 0.3316 0.5000
Rb 0.8302 0.1698 0.0000
Rb 0.1698 0.8302 0.0000
Sn 0.0000 0.0000 0.5000

---

Entry 13:
La2YCu | PBE | optimized geometry

## Properties
Crystal system: cubic
DOS at the Fermi energy (states/eV/f.u.): 5.4
Raw total energy (eV/atom): -4.90
Energy above the most stable polymorph in this dataset (meV per atom): 277

Cell: 5.3748 5.3748 5.3748 Å, 60.00 60.00 60.00°
Element x y z (fractional)
La 0.2500 0.2500 0.2500
La 0.0000 0.0000 0.0000
Cu 0.5000 0.5000 0.5000
Y 0.7500 0.7500 0.7500

---

Entry 14:
PmPrY4 | PBE | optimized geometry

## Properties
Crystal system: monoclinic
DOS at the Fermi energy (states/eV/f.u.): 8.9
Raw total energy (eV/atom): -5.88
Energy above the most stable polymorph in this dataset (meV per atom): 9

Cell: 3.6075 6.2594 17.6549 Å, 90.07 90.00 90.00°
Element x y z (fractional)
Y 0.4990 0.8327 0.1682
Y 0.0010 0.3327 0.6682
Y 0.9990 0.6673 0.3318
Y 0.4989 0.1670 0.3321
Y 0.5011 0.8330 0.6679
Y 0.9990 0.3330 0.1679
Y 0.5010 0.1673 0.8318
Y 0.0010 0.6670 0.8321
Pm 0.5000 0.5000 0.0000
Pm 0.0000 0.0000 0.5000
Pr 0.0000 0.0000 0.0000
Pr 0.5000 0.5000 0.5000

---

Entry 15:
PmMg2InAg4 | PBE | optimized geometry

## Properties
Crystal system: trigonal
DOS at the Fermi energy (states/eV/f.u.): 4.3
Raw total energy (eV/atom): -2.94

Cell: 4.7317 4.7317 9.3081 Å, 75.28 75.28 60.00°
Element x y z (fractional)
Ag 0.3925 0.3925 0.8225
Ag 0.8759 0.8759 0.3724
Ag 0.6075 0.6075 0.1775
Ag 0.1241 0.1241 0.6276
Mg 0.2456 0.2456 0.2632
Mg 0.7544 0.7544 0.7368
In 0.5000 0.5000 0.5000
Pm 0.0000 0.0000 0.0000

---

Entry 16:
In3Ir | PBE | optimized geometry

## Properties
Crystal system: monoclinic
DOS at the Fermi energy (states/eV/f.u.): 1.9
Raw total energy (eV/atom): -4.20

Cell: 4.0957 5.9498 5.8809 Å, 51.71 90.00 90.00°
Element x y z (fractional)
Ir 0.5000 0.2500 0.2500
In 0.0000 0.0834 0.0914
In 0.5000 0.7500 0.7500
In 0.0000 0.4166 0.4086

---

Entry 17:
K5Ag | PBE | optimized geometry

## Properties
Crystal system: monoclinic
DOS at the Fermi energy (states/eV/f.u.): 4.3
Raw total energy (eV/atom): -1.35
Energy above the most stable polymorph in this dataset (meV per atom): 17

Cell: 8.0374 8.0374 10.8296 Å, 67.54 67.54 32.65°
Element x y z (fractional)
K 0.5939 0.5939 0.1772
K 0.6405 0.6405 0.7767
K 0.9733 0.9733 0.5568
K 0.3043 0.3043 0.3345
K 0.3487 0.3487 0.9349
Ag 0.9726 0.9726 0.0532

---

Entry 18:
Na2Hg7Pb3 | PBE | optimized geometry

## Properties
Crystal system: orthorhombic
DOS at the Fermi energy (states/eV/f.u.): 6.0
Raw total energy (eV/atom): -1.37
Energy above the most stable polymorph in this dataset (meV per atom): 7

Cell: 5.6163 5.3913 11.8781 Å, 103.11 90.00 90.00°
Element x y z (fractional)
Na 0.0000 0.8545 0.7091
Na 0.0000 0.1455 0.2909
Pb 0.5000 0.3497 0.6994
Pb 0.5000 0.5000 0.0000
Pb 0.5000 0.6503 0.3006
Hg 0.0000 0.7217 0.4434
Hg 0.0000 0.2783 0.5566
Hg 0.5000 0.9200 0.8400
Hg 0.5000 0.0800 0.1600
Hg 0.0000 0.0000 0.0000
Hg 0.0000 0.5765 0.1530
Hg 0.0000 0.4235 0.8470

---

Entry 19:
Cs2HfCCl | PBE | optimized geometry

## Properties
Crystal system: tetragonal
Formation energy without anion corrections (eV per atom): 1.56
DOS at the Fermi energy (states/eV/f.u.): 4.6
Raw total energy (eV/atom): -2.98

Cell: 7.1267 3.7332 7.1267 Å, 90.00 90.00 90.00°
Element x y z (fractional)
Cl 0.0000 0.5000 0.0000
Cs 0.0000 0.0000 0.5000
Cs 0.5000 0.0000 0.0000
C 0.0000 0.0000 0.0000
Hf 0.5000 0.5000 0.5000

---

Entry 20:
YAg2Ir | PBE | optimized geometry

## Properties
Crystal system: tetragonal
DOS at the Fermi energy (states/eV/f.u.): 2.0
Raw total energy (eV/atom): -5.25
Energy above the most stable polymorph in this dataset (meV per atom): 297

Cell: 3.7265 3.7265 5.6391 Å, 90.00 90.00 90.00°
Element x y z (fractional)
Ag 0.0000 0.0000 0.0127
Ag 0.0000 0.0000 0.4873
Y 0.5000 0.5000 0.7500
Ir 0.5000 0.5000 0.2500